1.
A plane-wave DFT calculation with PBEsol was carried out for an optimized crystal structure of Dy7Te2Pt2.

Calculated total energy = -6.10 eV per atom
M_tot = 0.0 Bohr magnetons per cell
D(E_F) = 8.60 states/eV/cell

Geometry as POSCAR:
```
Dy7Te2Pt2
1.0
3.892 0.000 0.000
1.946 9.094 0.037
1.946 4.141 8.097
Te Pt Dy
2 2 7
Cartesian
3.892 5.441 5.982
1.946 7.428 2.748
3.892 2.781 2.520
3.892 9.731 6.791
5.838 7.912 5.791
1.946 4.495 3.691
5.838 11.432 5.647
1.946 3.033 0.485
3.892 6.022 0.757
3.892 9.840 3.103
1.946 9.090 0.044
```


2.
A plane-wave DFT calculation with PBEsol was carried out for an optimized crystal structure of Dy2ZnPt.

Calculated total energy = -5.40 eV per atom
M_tot = 0.0 Bohr magnetons per cell
Energy of formation from the pure elements = -0.777 eV per atom
D(E_F) = 1.79 states/eV/cell

Geometry as POSCAR:
```
Dy2ZnPt
1.0
-3.514 3.401 0.299
-4.238 -0.640 -2.373
-4.100 -0.928 2.516
Zn Pt Dy
1 1 2
Cartesian
0.000 0.000 0.000
-5.926 0.916 0.221
-2.963 0.458 0.111
-8.889 1.375 0.332
```


3.
A plane-wave DFT calculation with PBEsol was carried out for an optimized crystal structure of RbDyS2.

Calculated total energy = -5.58 eV per atom
M_tot = 0.0 Bohr magnetons per cell
D(E_F) = 0.00 states/eV/cell

Geometry as POSCAR:
```
RbDyS2
1.0
-1.747 3.352 1.345
-2.207 -0.093 3.349
4.840 2.650 5.668
S Rb Dy
2 1 1
Cartesian
0.570 1.565 2.822
0.316 4.343 7.539
0.000 0.000 0.000
0.443 2.954 5.180
```


4.
A plane-wave DFT calculation with PBEsol was carried out for an optimized crystal structure of Dy7Rh3.

Calculated total energy = -6.51 eV per atom
M_tot = 0.0 Bohr magnetons per cell
Energy of formation from the pure elements = -0.587 eV per atom
D(E_F) = 14.77 states/eV/cell

Geometry as POSCAR:
```
Dy7Rh3
1.0
6.035 0.000 0.000
0.000 9.632 0.000
0.000 -4.816 8.342
Dy Rh
14 6
Cartesian
5.826 4.816 2.781
2.809 0.000 5.561
4.548 1.785 1.031
4.548 4.816 6.280
4.548 7.847 1.031
1.530 3.031 7.311
1.530 0.000 2.061
1.530 -3.031 7.311
5.755 -1.821 4.510
5.755 0.000 7.664
5.755 1.821 4.510
2.738 6.638 3.832
2.738 4.816 0.677
2.738 2.995 3.832
4.168 2.074 6.758
4.168 0.000 3.167
4.168 -2.074 6.758
1.150 2.743 1.583
1.150 4.816 5.175
1.150 6.890 1.583
```


5.
A plane-wave DFT calculation with PBEsol was carried out for an optimized crystal structure of Dy2Si5Rh3.

Calculated total energy = -7.36 eV per atom
M_tot = 0.0 Bohr magnetons per cell
D(E_F) = 7.35 states/eV/cell

Geometry as POSCAR:
```
Dy2Si5Rh3
1.0
-2.550 2.483 -4.341
1.013 -7.779 -1.695
-5.438 -1.429 5.727
Dy Si Rh
4 10 6
Cartesian
-4.724 -5.298 2.912
-2.713 -0.958 0.947
-2.251 -1.427 -3.222
-4.262 -5.766 -1.257
-0.475 -1.759 -0.813
-3.893 -7.518 1.142
-6.500 -4.965 0.503
-3.081 0.793 -1.451
-0.973 -5.831 -1.229
-6.002 -0.894 0.919
-2.934 -3.900 1.027
-4.041 -2.824 -1.337
-4.632 -2.229 2.981
-2.343 -4.495 -3.290
-1.822 -3.656 -1.040
-2.072 -6.088 0.823
-5.153 -3.069 0.730
-4.903 -0.636 -1.133
0.367 -7.149 -2.770
-7.342 0.425 2.461
```


6.
A plane-wave DFT calculation with PBEsol was carried out for an optimized crystal structure of DySi2Rh2.

Calculated total energy = -7.73 eV per atom
M_tot = 0.0 Bohr magnetons per cell
D(E_F) = 2.21 states/eV/cell

Geometry as POSCAR:
```
DySi2Rh2
1.0
4.005 0.000 0.000
0.000 4.005 0.000
-2.003 -2.003 4.950
Si Rh Dy
2 2 1
Cartesian
0.000 0.000 3.749
2.003 2.003 1.201
0.000 2.003 2.475
2.003 0.000 2.475
0.000 0.000 0.000
```


7.
A plane-wave DFT calculation with PBEsol was carried out for an optimized crystal structure of DySi2Rh3.

Calculated total energy = -7.88 eV per atom
M_tot = 0.0 Bohr magnetons per cell
D(E_F) = 1.52 states/eV/cell

Geometry as POSCAR:
```
DySi2Rh3
1.0
3.653 0.000 0.000
0.000 5.432 0.000
0.000 -2.716 4.704
Si Rh Dy
2 3 1
Cartesian
0.000 2.716 1.568
0.000 0.000 3.136
1.827 2.716 0.000
1.827 -1.358 2.352
1.827 1.358 2.352
0.000 0.000 0.000
```


8.
A plane-wave DFT calculation with PBEsol was carried out for an optimized crystal structure of Dy2Si3Rh.

Calculated total energy = -6.88 eV per atom
M_tot = 0.0 Bohr magnetons per cell
D(E_F) = 6.42 states/eV/cell

Geometry as POSCAR:
```
Dy2Si3Rh
1.0
-5.893 -3.781 3.289
-0.087 -5.240 -6.178
4.588 -1.488 6.510
Dy Si Rh
8 12 4
Cartesian
-1.473 -0.945 0.822
-4.420 -2.835 2.467
2.987 -4.977 4.180
0.821 -4.275 1.105
-2.253 -8.709 -0.402
0.861 -1.800 4.023
-2.212 -6.234 2.515
-4.379 -5.531 -0.559
0.806 -6.624 2.959
-1.437 -3.271 2.794
-2.120 -8.501 4.593
0.045 -7.238 0.827
0.850 -4.012 6.038
-4.363 -5.148 4.428
-2.198 -3.885 0.661
2.971 -5.361 -0.807
-2.077 -5.889 7.672
0.728 -2.008 -0.972
-2.242 -6.497 -2.418
0.685 -4.619 -4.051
-0.130 -4.766 4.044
-2.650 -6.382 5.451
-1.262 -5.743 -0.423
1.258 -4.126 -1.830
```


9.
A plane-wave DFT calculation with PBEsol was carried out for an optimized crystal structure of Dy2Sn5Rh3.

Calculated total energy = -6.32 eV per atom
M_tot = 0.0 Bohr magnetons per cell
Energy of formation from the pure elements = -0.749 eV per atom
D(E_F) = 8.97 states/eV/cell

Geometry as POSCAR:
```
Dy2Sn5Rh3
1.0
4.377 0.000 0.000
0.000 7.119 0.000
-2.189 0.000 13.071
Dy Sn Rh
4 10 6
Cartesian
0.000 5.401 4.487
2.189 1.842 8.584
0.000 5.243 12.442
2.189 1.684 0.628
2.189 5.219 9.931
0.000 1.659 3.139
2.189 0.347 5.374
0.000 3.906 7.697
2.189 4.342 2.529
0.000 0.783 10.542
2.189 2.843 11.825
0.000 6.403 1.245
0.000 6.964 7.605
2.189 3.404 5.466
0.000 3.668 1.303
2.189 0.109 11.768
2.189 5.444 7.247
0.000 1.885 5.824
0.000 3.442 10.291
2.189 7.002 2.779
```


10.
A plane-wave DFT calculation with PBEsol was carried out for an optimized crystal structure of TbDyRh2.

Calculated total energy = -7.38 eV per atom
M_tot = 0.0 Bohr magnetons per cell
Energy of formation from the pure elements = -0.814 eV per atom
D(E_F) = 2.10 states/eV/cell

Geometry as POSCAR:
```
TbDyRh2
1.0
4.775 0.000 0.000
2.388 4.136 0.000
2.388 1.379 3.899
Tb Rh Dy
1 2 1
Cartesian
0.000 0.000 0.000
2.388 1.379 0.975
7.163 4.136 2.924
4.775 2.757 1.950
```


11.
A plane-wave DFT calculation with PBEsol was carried out for an optimized crystal structure of DyTmRh2.

Calculated total energy = -7.42 eV per atom
M_tot = 0.0 Bohr magnetons per cell
Energy of formation from the pure elements = -0.881 eV per atom
D(E_F) = 1.79 states/eV/cell

Geometry as POSCAR:
```
DyTmRh2
1.0
4.733 0.000 0.000
2.367 4.099 0.000
2.367 1.366 3.864
Tm Rh Dy
1 2 1
Cartesian
0.000 0.000 0.000
2.367 1.366 0.966
7.100 4.099 2.898
4.733 2.733 1.932
```


12.
A plane-wave DFT calculation with PBEsol was carried out for an optimized crystal structure of DyZnRh2.

Calculated total energy = -6.33 eV per atom
M_tot = 0.0 Bohr magnetons per cell
Energy of formation from the pure elements = -0.619 eV per atom
D(E_F) = 2.39 states/eV/cell

Geometry as POSCAR:
```
DyZnRh2
1.0
4.477 0.000 0.000
2.238 3.877 0.000
2.238 1.292 3.655
Zn Rh Dy
1 2 1
Cartesian
4.477 2.585 1.828
2.238 1.292 0.914
6.715 3.877 2.741
0.000 0.000 0.000
```


13.
A plane-wave DFT calculation with PBEsol was carried out for an optimized crystal structure of DyZnRh.

Calculated total energy = -5.61 eV per atom
M_tot = 0.0 Bohr magnetons per cell
Energy of formation from the pure elements = -0.708 eV per atom
D(E_F) = 5.03 states/eV/cell

Geometry as POSCAR:
```
DyZnRh
1.0
-3.693 1.314 -0.366
-2.336 -6.388 0.628
-0.451 0.946 7.937
Dy Zn Rh
4 4 4
Cartesian
-3.924 -1.770 1.474
-2.556 -2.358 6.726
-5.152 -4.840 2.836
-1.328 0.711 5.363
-5.215 -3.662 7.704
-1.265 -0.467 0.495
-3.879 -0.820 4.427
-2.601 -3.308 3.773
-1.684 -0.933 3.052
-4.796 -3.195 5.147
-2.738 -4.366 1.365
-3.741 0.237 6.834
```


14.
A plane-wave DFT calculation with PBEsol was carried out for an optimized crystal structure of DyZn20Rh2.

Calculated total energy = -2.55 eV per atom
M_tot = 0.0 Bohr magnetons per cell
Energy of formation from the pure elements = -0.253 eV per atom
D(E_F) = 9.15 states/eV/cell

Geometry as POSCAR:
```
DyZn20Rh2
1.0
9.855 0.000 0.000
4.928 8.535 0.000
4.928 2.845 8.047
Dy Zn Rh
2 40 4
Cartesian
4.928 2.845 2.012
0.000 0.000 0.000
11.138 9.123 6.451
7.524 2.828 3.608
9.855 8.382 1.463
8.542 6.448 7.415
12.187 2.828 3.608
9.855 1.516 2.644
4.928 2.845 5.029
8.572 9.123 6.451
8.494 4.904 5.135
13.470 7.777 2.644
4.928 5.690 1.006
13.422 9.321 4.924
14.783 6.963 4.924
9.855 7.262 5.135
13.422 7.749 7.147
9.855 4.174 7.415
14.783 10.107 7.147
11.168 6.448 7.415
6.211 5.102 3.608
12.187 2.862 6.451
12.187 4.344 1.463
9.855 2.998 0.548
7.524 4.344 1.463
9.855 4.118 2.912
13.500 5.102 3.608
12.187 7.036 0.548
11.168 9.140 3.608
2.464 1.422 1.006
7.524 2.862 6.451
11.216 6.476 2.912
11.216 4.904 5.135
6.241 7.777 2.644
16.144 7.749 7.147
16.144 9.321 4.924
6.241 5.085 6.451
8.494 6.476 2.912
7.391 1.422 1.006
7.524 7.036 0.548
8.542 9.140 3.608
13.470 5.085 6.451
7.391 7.112 5.029
12.319 7.112 5.029
9.855 5.690 1.006
9.855 2.845 5.029
```


15.
A plane-wave DFT calculation with PBEsol was carried out for an optimized crystal structure of DyRu2.

Calculated total energy = -8.72 eV per atom
M_tot = 0.0 Bohr magnetons per cell
Energy of formation from the pure elements = -0.284 eV per atom
D(E_F) = 14.02 states/eV/cell

Geometry as POSCAR:
```
DyRu2
1.0
5.188 0.000 0.000
-2.594 4.493 0.000
0.000 0.000 8.791
Ru Dy
8 4
Cartesian
0.000 1.529 6.594
-1.270 3.729 6.594
1.324 0.765 2.198
2.594 2.964 2.198
1.270 3.729 6.594
0.000 0.000 0.000
3.864 0.765 2.198
0.000 0.000 4.396
0.000 2.996 3.810
2.594 1.498 4.981
2.594 1.498 8.206
0.000 2.996 0.586
```


16.
A plane-wave DFT calculation with PBEsol was carried out for an optimized crystal structure of DySi2Ru2.

Calculated total energy = -8.29 eV per atom
M_tot = 0.0 Bohr magnetons per cell
D(E_F) = 2.80 states/eV/cell

Geometry as POSCAR:
```
DySi2Ru2
1.0
4.129 0.000 0.000
0.000 4.129 0.000
-2.064 -2.064 4.741
Ru Si Dy
2 2 1
Cartesian
2.064 0.000 2.370
0.000 2.064 2.370
0.000 0.000 3.503
2.064 2.064 1.238
0.000 0.000 0.000
```


17.
A plane-wave DFT calculation with PBEsol was carried out for an optimized crystal structure of DySiRu.

Calculated total energy = -7.82 eV per atom
M_tot = 0.0 Bohr magnetons per cell
D(E_F) = 10.08 states/eV/cell

Geometry as POSCAR:
```
DySiRu
1.0
-2.367 2.493 2.585
-4.569 -5.141 0.775
3.567 -2.338 5.519
Dy Si Ru
4 4 4
Cartesian
1.056 -0.120 6.448
-4.424 -4.866 2.431
-1.690 -2.388 6.122
-1.678 -2.598 2.758
-4.567 -1.955 3.072
1.199 -3.030 5.808
-1.267 -0.051 4.256
-2.102 -4.935 4.624
0.731 -1.487 3.892
-4.099 -3.499 4.988
-0.245 -4.915 6.305
-3.124 -0.071 2.575
```


18.
A plane-wave DFT calculation with PBEsol was carried out for an optimized crystal structure of SmDyRu2.

Calculated total energy = -7.78 eV per atom
M_tot = 0.0 Bohr magnetons per cell
Energy of formation from the pure elements = -0.176 eV per atom
D(E_F) = 3.48 states/eV/cell

Geometry as POSCAR:
```
SmDyRu2
1.0
-0.290 -1.615 4.481
1.566 -4.381 1.063
3.965 -0.552 2.598
Ru Sm Dy
2 1 1
Cartesian
3.931 -4.911 6.107
1.310 -1.637 2.036
2.620 -3.274 4.071
0.000 0.000 0.000
```


19.
A plane-wave DFT calculation with PBEsol was carried out for an optimized crystal structure of DySnRu2.

Calculated total energy = -7.73 eV per atom
M_tot = 0.0 Bohr magnetons per cell
Energy of formation from the pure elements = -0.338 eV per atom
D(E_F) = 5.04 states/eV/cell

Geometry as POSCAR:
```
DySnRu2
1.0
4.597 0.000 0.000
2.299 3.981 0.000
2.299 1.327 3.754
Ru Sn Dy
2 1 1
Cartesian
6.896 3.981 2.815
2.299 1.327 0.938
0.000 0.000 0.000
4.597 2.654 1.877
```


20.
A plane-wave DFT calculation with PBEsol was carried out for an optimized crystal structure of DyTaRu2.

Calculated total energy = -9.80 eV per atom
M_tot = 0.0 Bohr magnetons per cell
Energy of formation from the pure elements = -0.329 eV per atom
D(E_F) = 0.74 states/eV/cell

Geometry as POSCAR:
```
DyTaRu2
1.0
-3.385 -1.432 2.702
-0.780 -4.465 0.506
0.955 -2.048 3.962
Ru Ta Dy
2 1 1
Cartesian
-2.407 -5.958 5.377
-0.802 -1.986 1.792
-1.605 -3.972 3.585
0.000 0.000 0.000
```


Calculated density readings, ordered: 10.4, 11.7, 4.9, 9.9, 8.1, 8.9, 9.4, 7.7, 10.0, 11.4, 11.9, 11.4, 10.2, 8.2, 11.8, 8.6, 9.3, 11.1, 11.7, 13.5 g cm⁻³